VASP calculation (GGA-PBE) on a geometry-optimized KAcPO4 structure.

```
KAcPO4
1.0
6.475 0.000 0.000
3.237 5.996 -0.075
3.237 1.755 5.734
K Ac P O
2 2 2 8
Cartesian
4.856 0.877 2.867
1.619 0.877 2.867
0.000 0.000 0.000
3.237 3.875 2.829
6.475 3.847 0.583
6.475 3.903 5.076
9.712 5.650 4.756
6.475 5.374 4.555
6.475 2.376 1.103
3.237 2.101 0.902
5.197 4.603 1.134
7.752 4.603 1.134
5.197 3.147 4.524
7.752 3.147 4.524
```

E_form (uncorrected), eV per atom: -2.33
SG: Imma (74)
Size of the total moment, Bohr magnetons per cell: 0.00